(1)
First-principles (PBE) data for a relaxed structure of TmLuFeAu, as listed in Alexandria via LeMat-Bulk.

Unit cell a=6.8700 b=6.8700 c=6.8700 alpha=90.00 beta=90.00 gamma=90.00
Space group F-43m (No. 216)
Asymmetric unit:
Tm  0.0000  0.0000  0.0000 x4
Lu  0.0000  0.0000  0.5000 x4
Fe  0.2500  0.2500  0.2500 x4
Au  0.2500  0.2500  0.7500 x4

Calculated values
Size of the total moment: 4.58 μB per cell
DFT formation energy: -343 meV per atom
Density of states at the Fermi level: 21.578 states/eV/cell

(2)
First-principles (PBE) data for a relaxed structure of MgFeAu2, as listed in Alexandria via LeMat-Bulk.

Unit cell a=3.9897 b=3.9897 c=18.4320 alpha=90.00 beta=90.00 gamma=90.00
Space group I-42d (No. 122)
Asymmetric unit:
Mg  0.0000  0.0000  0.0000 x4
Fe  0.0000  0.0000  0.5000 x4
Au  0.2459  0.2500  0.6250 x8

Calculated values
Size of the total moment: 11.37 μB per cell
DFT formation energy: 198 meV per atom
Density of states at the Fermi level: 8.477 states/eV/cell

Copy entry 1 word for word.
First-principles (PBE) data for a relaxed structure of TmLuFeAu, as listed in Alexandria via LeMat-Bulk.

Unit cell a=6.8700 b=6.8700 c=6.8700 alpha=90.00 beta=90.00 gamma=90.00
Space group F-43m (No. 216)
Asymmetric unit:
Tm  0.0000  0.0000  0.0000 x4
Lu  0.0000  0.0000  0.5000 x4
Fe  0.2500  0.2500  0.2500 x4
Au  0.2500  0.2500  0.7500 x4

Calculated values
Size of the total moment: 4.58 μB per cell
DFT formation energy: -343 meV per atom
Density of states at the Fermi level: 21.578 states/eV/cell

- Among the records above, which one has the highest size of the total moment?
  MgFeAu2